Here is crystalline La2PmHo5Er at its relaxed geometry from Alexandria via LeMat-Bulk. Energies are from PBE.

Values from the calculation:
space-group type	I4/mcm, No. 140
density of states at the Fermi level	12.30	states/eV/f.u.
DFT total energy	-79.45	eV for the cell shown

abc: 9.9868 9.9868 9.9868
angles: 128.62 128.62 75.63
With the nearest neighbours (Å) after each atom.
Positions (direct):
La: 0.1175 0.6175 0.7351  1 La 2.88, 2 Ho 3.02
La: 0.3825 0.1175 0.5000  1 La 2.88, 2 Ho 3.02
La: 0.6175 0.8825 0.5000  1 La 2.88, 2 Ho 3.02
La: 0.8825 0.3825 0.2649  1 La 2.88, 2 Ho 3.02
Pm: 0.2500 0.2500 0.0000  10 Ho 3.53-3.94
Pm: 0.7500 0.7500 0.0000  10 Ho 3.53-3.94
Ho: 0.0000 0.0000 0.0000  4 La 3.46, 8 Ho 3.81
Ho: 0.0745 0.1426 0.5000  1 La 3.02, 1 Er 3.15
Ho: 0.1426 0.6426 0.0682  1 La 3.02, 1 Er 3.15
Ho: 0.3574 0.4255 0.5000  1 La 3.02, 1 Er 3.15
Ho: 0.4255 0.9255 0.0682  1 La 3.02, 1 Er 3.15
Ho: 0.5000 0.5000 0.0000  4 La 3.46, 8 Ho 3.81
Ho: 0.5745 0.0745 0.9318  1 La 3.02, 1 Er 3.15
Ho: 0.6426 0.5745 0.5000  1 La 3.02, 1 Er 3.15
Ho: 0.8574 0.3574 0.9318  1 La 3.02, 1 Er 3.15
Ho: 0.9255 0.8574 0.5000  1 La 3.02, 1 Er 3.15
Er: 0.2500 0.7500 0.5000  4 Ho 3.15
Er: 0.7500 0.2500 0.5000  4 Ho 3.15